Compound: Sm3Dy6YSc2
Source: Alexandria
Functional: PBE-GGA
Structure: optimized geometry

For the formation energy, the calculation gives 0.038 eV per atom. For the magnetization, the calculation gives 0.0 μB/f.u. The value obtained for the density of states at the Fermi level is 1.436 states/eV per atom. Its total energy is -60.4 eV for the cell shown.

Structure (extended XYZ):
```
12
Lattice="6.107 0.001 0.007 -3.051 5.290 0.007 -1.029 -1.781 11.456" Properties=species:S:1:pos:R:3 pbc="T T T"
Sm -2.038 3.517 5.735
Sm 4.065 -0.007 5.735
Sm 1.013 1.755 5.735
Dy 3.056 1.730 8.688
Dy 2.024 3.505 2.789
Dy -1.029 1.779 2.783
Dy -0.029 3.512 8.688
Dy 0.003 0.004 8.681
Dy 2.056 -0.002 2.783
Y 0.000 0.000 0.000
Sc 0.001 3.527 0.007
Sc 3.055 1.764 0.007
```